Run w
A relaxed CeDy6Tm12 crystal, computed with PBE.

Unit cell a=8.417 b=8.417 c=8.417 alpha=88.40 beta=88.40 gamma=88.40
Atoms (fractional coordinates):
Ce (0.000, 0.000, 0.000)
Dy (0.089, 0.256, 0.687)
Dy (0.256, 0.687, 0.089)
Dy (0.313, 0.911, 0.744)
Dy (0.687, 0.089, 0.256)
Dy (0.744, 0.313, 0.911)
Dy (0.911, 0.744, 0.313)
Tm (0.009, 0.351, 0.212)
Tm (0.212, 0.009, 0.351)
Tm (0.227, 0.562, 0.456)
Tm (0.351, 0.212, 0.009)
Tm (0.438, 0.544, 0.773)
Tm (0.456, 0.227, 0.562)
Tm (0.544, 0.773, 0.438)
Tm (0.562, 0.456, 0.227)
Tm (0.649, 0.788, 0.991)
Tm (0.773, 0.438, 0.544)
Tm (0.788, 0.991, 0.649)
Tm (0.991, 0.649, 0.788)

Values from the calculation:
The calculation puts the density of states at the Fermi level at 30.98 states/eV/cell. The value obtained for the density is 8.76 Mg/m³.



Run x
A relaxed CeDy6Tm12 crystal, computed with PBE.

Unit cell a=8.586 b=8.586 c=8.586 alpha=99.24 beta=99.24 gamma=99.24
Atoms (fractional coordinates):
Ce (0.000, 0.000, 0.000)
Dy (0.104, 0.104, 0.661)
Dy (0.104, 0.661, 0.104)
Dy (0.339, 0.896, 0.896)
Dy (0.661, 0.104, 0.104)
Dy (0.896, 0.339, 0.896)
Dy (0.896, 0.896, 0.339)
Tm (0.079, 0.351, 0.351)
Tm (0.243, 0.500, 0.757)
Tm (0.243, 0.757, 0.500)
Tm (0.351, 0.079, 0.351)
Tm (0.351, 0.351, 0.079)
Tm (0.500, 0.243, 0.757)
Tm (0.500, 0.757, 0.243)
Tm (0.649, 0.649, 0.921)
Tm (0.649, 0.921, 0.649)
Tm (0.757, 0.243, 0.500)
Tm (0.757, 0.500, 0.243)
Tm (0.921, 0.649, 0.649)

Values from the calculation:
The calculation puts the density of states at the Fermi level at 35.46 states/eV/cell. The value obtained for the density is 8.62 Mg/m³.



The energy of each structure relative to the most stable one, in eV/atom, is as follows: run w 0.000; run x 0.057.



Run w
A relaxed CeDy4Tm7 crystal, computed with PBE.

Unit cell a=5.896 b=6.784 c=9.909 alpha=109.98 beta=90.31 gamma=90.01
Atoms (fractional coordinates):
Ce (0.000, 0.000, 0.000)
Dy (0.254, 0.132, 0.727)
Dy (0.254, 0.593, 0.726)
Dy (0.746, 0.407, 0.274)
Dy (0.746, 0.868, 0.273)
Tm (0.244, 0.715, 0.428)
Tm (0.251, 0.188, 0.374)
Tm (0.251, 0.539, 0.079)
Tm (0.500, 0.000, 0.000)
Tm (0.749, 0.461, 0.921)
Tm (0.749, 0.812, 0.626)
Tm (0.756, 0.285, 0.572)

Values from the calculation:
The calculation puts the density of states at the Fermi level at 21.28 states/eV/cell. The value obtained for the density is 8.79 Mg/m³.



Run x
A relaxed CeDy4Tm7 crystal, computed with PBE.

Unit cell a=6.615 b=6.615 c=12.552 alpha=114.64 beta=114.64 gamma=51.59
Atoms (fractional coordinates):
Ce (0.000, 0.000, 0.000)
Dy (0.250, 0.250, 0.685)
Dy (0.368, 0.368, 0.225)
Dy (0.632, 0.632, 0.775)
Dy (0.750, 0.750, 0.315)
Tm (0.060, 0.060, 0.328)
Tm (0.207, 0.207, 0.924)
Tm (0.364, 0.364, 0.497)
Tm (0.500, 0.500, 0.000)
Tm (0.636, 0.636, 0.503)
Tm (0.793, 0.793, 0.076)
Tm (0.940, 0.940, 0.672)

Values from the calculation:
The calculation puts the density of states at the Fermi level at 23.81 states/eV/cell. The value obtained for the density is 8.59 Mg/m³.



The energy of each structure relative to the most stable one, in eV/atom, is as follows: run w 0.000; run x 0.141.



Run w
A relaxed CeDy2Tm6 crystal, computed with PBE.

Unit cell a=6.091 b=6.091 c=15.190 alpha=92.21 beta=92.21 gamma=92.45
Atoms (fractional coordinates):
Ce (0.230, 0.770, 0.750)
Ce (0.770, 0.230, 0.250)
Dy (0.106, 0.621, 0.313)
Dy (0.379, 0.894, 0.187)
Dy (0.621, 0.106, 0.813)
Dy (0.894, 0.379, 0.687)
Tm (0.160, 0.304, 0.883)
Tm (0.172, 0.738, 0.523)
Tm (0.262, 0.828, 0.977)
Tm (0.264, 0.372, 0.114)
Tm (0.304, 0.160, 0.383)
Tm (0.372, 0.264, 0.614)
Tm (0.628, 0.736, 0.386)
Tm (0.696, 0.840, 0.617)
Tm (0.736, 0.628, 0.886)
Tm (0.738, 0.172, 0.023)
Tm (0.828, 0.262, 0.477)
Tm (0.840, 0.696, 0.117)

Values from the calculation:
The calculation puts the density of states at the Fermi level at 34.94 states/eV/cell. The value obtained for the density is 8.74 Mg/m³.



Run x
A relaxed CeDy2Tm6 crystal, computed with PBE.

Unit cell a=9.356 b=9.356 c=6.484 alpha=98.04 beta=98.04 gamma=94.48
Atoms (fractional coordinates):
Ce (0.121, 0.879, 0.750)
Ce (0.879, 0.121, 0.250)
Dy (0.334, 0.387, 0.632)
Dy (0.387, 0.334, 0.132)
Dy (0.613, 0.666, 0.868)
Dy (0.666, 0.613, 0.368)
Tm (0.051, 0.218, 0.818)
Tm (0.057, 0.459, 0.265)
Tm (0.218, 0.051, 0.318)
Tm (0.279, 0.658, 0.001)
Tm (0.342, 0.721, 0.499)
Tm (0.459, 0.057, 0.765)
Tm (0.541, 0.943, 0.235)
Tm (0.658, 0.279, 0.501)
Tm (0.721, 0.342, 0.999)
Tm (0.782, 0.949, 0.682)
Tm (0.943, 0.541, 0.735)
Tm (0.949, 0.782, 0.182)

Values from the calculation:
The calculation puts the density of states at the Fermi level at 29.94 states/eV/cell. The value obtained for the density is 8.87 Mg/m³.



The energy of each structure relative to the most stable one, in eV/atom, is as follows: run w 0.050; run x 0.000.



Run w
A relaxed CeDyTm6 crystal, computed with PBE.

Unit cell a=6.404 b=6.682 c=6.805 alpha=118.56 beta=103.01 gamma=90.63
Atoms (fractional coordinates):
Ce (0.000, 0.000, 0.000)
Dy (0.500, 0.000, 0.000)
Tm (0.230, 0.904, 0.477)
Tm (0.249, 0.451, 0.000)
Tm (0.267, 0.427, 0.520)
Tm (0.733, 0.573, 0.480)
Tm (0.751, 0.549, 0.000)
Tm (0.770, 0.096, 0.523)

Values from the calculation:
The calculation puts the density of states at the Fermi level at 16.43 states/eV/cell. The value obtained for the density is 8.86 Mg/m³.



Run x
A relaxed CeDyTm6 crystal, computed with PBE.

Unit cell a=4.948 b=4.948 c=9.871 alpha=90.00 beta=90.00 gamma=90.00
Atoms (fractional coordinates):
Ce (0.000, 0.000, 0.000)
Dy (0.000, 0.000, 0.500)
Tm (0.000, 0.500, 0.249)
Tm (0.000, 0.500, 0.751)
Tm (0.500, 0.000, 0.249)
Tm (0.500, 0.000, 0.751)
Tm (0.500, 0.500, 0.000)
Tm (0.500, 0.500, 0.500)

Values from the calculation:
The calculation puts the density of states at the Fermi level at 12.01 states/eV/cell. The value obtained for the density is 9.04 Mg/m³.



The energy of each structure relative to the most stable one, in eV/atom, is as follows: run w 0.184; run x 0.000.



Run w
A relaxed CeDyY3 crystal, computed with PBE.

Unit cell a=6.742 b=6.742 c=9.400 alpha=98.36 beta=98.36 gamma=126.44
Atoms (fractional coordinates):
Ce (0.112, 0.888, 0.000)
Ce (0.888, 0.112, 0.000)
Dy (0.249, 0.751, 0.500)
Dy (0.751, 0.249, 0.500)
Y (0.190, 0.190, 0.378)
Y (0.262, 0.541, 0.802)
Y (0.459, 0.738, 0.198)
Y (0.541, 0.262, 0.802)
Y (0.738, 0.459, 0.198)
Y (0.810, 0.810, 0.622)

Values from the calculation:
The calculation puts the density of states at the Fermi level at 20.28 states/eV/cell. The value obtained for the density is 5.81 Mg/m³.



Run x
A relaxed CeDyY3 crystal, computed with PBE.

Unit cell a=3.609 b=8.474 c=11.108 alpha=106.52 beta=99.34 gamma=90.01
Atoms (fractional coordinates):
Ce (0.187, 0.382, 0.373)
Ce (0.813, 0.618, 0.627)
Dy (0.384, 0.981, 0.767)
Dy (0.616, 0.019, 0.233)
Y (0.016, 0.216, 0.034)
Y (0.217, 0.816, 0.435)
Y (0.416, 0.415, 0.832)
Y (0.584, 0.585, 0.168)
Y (0.783, 0.184, 0.565)
Y (0.984, 0.784, 0.966)

Values from the calculation:
The calculation puts the density of states at the Fermi level at 22.30 states/eV/cell. The value obtained for the density is 5.89 Mg/m³.



The energy of each structure relative to the most stable one, in eV/atom, is as follows: run w 0.135; run x 0.000.



Run w
A relaxed CeDyY2 crystal, computed with PBE.

Unit cell a=5.016 b=5.016 c=5.030 alpha=90.00 beta=90.00 gamma=90.00
Atoms (fractional coordinates):
Ce (0.000, 0.000, 0.000)
Dy (0.500, 0.500, 0.000)
Y (0.000, 0.500, 0.500)
Y (0.500, 0.000, 0.500)

Values from the calculation:
The calculation puts the density of states at the Fermi level at 7.03 states/eV/cell. The value obtained for the density is 6.30 Mg/m³.



Run x
A relaxed CeDyY2 crystal, computed with PBE.

Unit cell a=3.563 b=3.563 c=34.365 alpha=90.00 beta=90.00 gamma=120.00
Atoms (fractional coordinates):
Ce (0.000, 0.000, 0.000)
Ce (0.333, 0.667, 0.667)
Ce (0.667, 0.333, 0.333)
Dy (0.000, 0.000, 0.166)
Dy (0.333, 0.667, 0.832)
Dy (0.667, 0.333, 0.499)
Y (0.000, 0.000, 0.416)
Y (0.000, 0.000, 0.584)
Y (0.333, 0.667, 0.082)
Y (0.333, 0.667, 0.250)
Y (0.667, 0.333, 0.749)
Y (0.667, 0.333, 0.917)

Values from the calculation:
The calculation puts the density of states at the Fermi level at 25.16 states/eV/cell. The value obtained for the density is 6.33 Mg/m³.



Run y
A relaxed CeDyY2 crystal, computed with PBE.

Unit cell a=8.033 b=8.033 c=8.033 alpha=90.00 beta=90.00 gamma=90.00
Atoms (fractional coordinates):
Ce (0.000, 0.000, 0.000)
Ce (0.000, 0.500, 0.500)
Ce (0.500, 0.000, 0.500)
Ce (0.500, 0.500, 0.000)
Dy (0.000, 0.000, 0.500)
Dy (0.000, 0.500, 0.000)
Dy (0.500, 0.000, 0.000)
Dy (0.500, 0.500, 0.500)
Y (0.250, 0.250, 0.250)
Y (0.250, 0.250, 0.750)
Y (0.250, 0.750, 0.250)
Y (0.250, 0.750, 0.750)
Y (0.750, 0.250, 0.250)
Y (0.750, 0.250, 0.750)
Y (0.750, 0.750, 0.250)
Y (0.750, 0.750, 0.750)

Values from the calculation:
The calculation puts the density of states at the Fermi level at 42.00 states/eV/cell. The value obtained for the density is 6.16 Mg/m³.



The energy of each structure relative to the most stable one, in eV/atom, is as follows: run w 0.028; run x 0.000; run y 0.123.



Run w
A relaxed CeDy2Y8 crystal, computed with PBE.

Unit cell a=10.197 b=10.197 c=5.590 alpha=92.68 beta=92.68 gamma=39.93
Atoms (fractional coordinates):
Ce (0.000, 0.000, 0.000)
Dy (0.284, 0.284, 0.751)
Dy (0.716, 0.716, 0.249)
Y (0.133, 0.602, 0.267)
Y (0.188, 0.188, 0.234)
Y (0.398, 0.867, 0.733)
Y (0.453, 0.453, 0.763)
Y (0.547, 0.547, 0.237)
Y (0.602, 0.133, 0.267)
Y (0.812, 0.812, 0.766)
Y (0.867, 0.398, 0.733)

Values from the calculation:
The calculation puts the density of states at the Fermi level at 23.11 states/eV/cell. The value obtained for the density is 5.24 Mg/m³.



Run x
A relaxed CeDy2Y8 crystal, computed with PBE.

Unit cell a=9.450 b=9.450 c=7.978 alpha=104.66 beta=104.66 gamma=30.97
Atoms (fractional coordinates):
Ce (0.000, 0.000, 0.000)
Dy (0.272, 0.272, 0.364)
Dy (0.728, 0.728, 0.636)
Y (0.091, 0.091, 0.454)
Y (0.181, 0.181, 0.908)
Y (0.364, 0.364, 0.818)
Y (0.455, 0.455, 0.269)
Y (0.545, 0.545, 0.731)
Y (0.636, 0.636, 0.182)
Y (0.819, 0.819, 0.092)
Y (0.909, 0.909, 0.546)

Values from the calculation:
The calculation puts the density of states at the Fermi level at 18.70 states/eV/cell. The value obtained for the density is 5.52 Mg/m³.



The energy of each structure relative to the most stable one, in eV/atom, is as follows: run w 0.129; run x 0.000.



Run w
A relaxed CeDy7Y12 crystal, computed with PBE.

Unit cell a=10.048 b=10.048 c=10.048 alpha=112.96 beta=112.96 gamma=112.96
Atoms (fractional coordinates):
Ce (0.000, 0.000, 0.000)
Dy (0.146, 0.146, 0.467)
Dy (0.146, 0.467, 0.146)
Dy (0.467, 0.146, 0.146)
Dy (0.500, 0.500, 0.500)
Dy (0.533, 0.854, 0.854)
Dy (0.854, 0.533, 0.854)
Dy (0.854, 0.854, 0.533)
Y (0.000, 0.286, 0.714)
Y (0.000, 0.714, 0.286)
Y (0.092, 0.431, 0.431)
Y (0.286, 0.000, 0.714)
Y (0.286, 0.714, 0.000)
Y (0.431, 0.092, 0.431)
Y (0.431, 0.431, 0.092)
Y (0.569, 0.569, 0.908)
Y (0.569, 0.908, 0.569)
Y (0.714, 0.000, 0.286)
Y (0.714, 0.286, 0.000)
Y (0.908, 0.569, 0.569)

Values from the calculation:
The calculation puts the density of states at the Fermi level at 40.43 states/eV/cell. The value obtained for the density is 5.89 Mg/m³.



Run x
A relaxed CeDy7Y12 crystal, computed with PBE.

Unit cell a=9.818 b=9.818 c=9.818 alpha=109.47 beta=109.47 gamma=109.47
Atoms (fractional coordinates):
Ce (0.000, 0.000, 0.000)
Dy (0.000, 0.000, 0.500)
Dy (0.000, 0.500, 0.000)
Dy (0.000, 0.500, 0.500)
Dy (0.500, 0.000, 0.000)
Dy (0.500, 0.000, 0.500)
Dy (0.500, 0.500, 0.000)
Dy (0.500, 0.500, 0.500)
Y (0.000, 0.255, 0.745)
Y (0.000, 0.745, 0.255)
Y (0.255, 0.000, 0.745)
Y (0.255, 0.255, 0.509)
Y (0.255, 0.509, 0.255)
Y (0.255, 0.745, 0.000)
Y (0.491, 0.745, 0.745)
Y (0.509, 0.255, 0.255)
Y (0.745, 0.000, 0.255)
Y (0.745, 0.255, 0.000)
Y (0.745, 0.491, 0.745)
Y (0.745, 0.745, 0.491)

Values from the calculation:
The calculation puts the density of states at the Fermi level at 32.70 states/eV/cell. The value obtained for the density is 5.34 Mg/m³.



The energy of each structure relative to the most stable one, in eV/atom, is as follows: run w 0.000; run x 0.444.



Run w
A relaxed CeDyY6 crystal, computed with PBE.

Unit cell a=6.463 b=6.463 c=6.463 alpha=95.92 beta=95.92 gamma=95.92
Atoms (fractional coordinates):
Ce (0.000, 0.000, 0.000)
Dy (0.500, 0.500, 0.500)
Y (0.035, 0.453, 0.748)
Y (0.252, 0.965, 0.547)
Y (0.453, 0.748, 0.035)
Y (0.547, 0.252, 0.965)
Y (0.748, 0.035, 0.453)
Y (0.965, 0.547, 0.252)

Values from the calculation:
The calculation puts the density of states at the Fermi level at 18.55 states/eV/cell. The value obtained for the density is 5.23 Mg/m³.



Run x
A relaxed CeDyY6 crystal, computed with PBE.

Unit cell a=6.513 b=6.835 c=6.909 alpha=119.04 beta=101.76 gamma=90.51
Atoms (fractional coordinates):
Ce (0.000, 0.000, 0.000)
Dy (0.500, 0.000, 0.000)
Y (0.232, 0.904, 0.479)
Y (0.249, 0.448, 0.999)
Y (0.266, 0.426, 0.519)
Y (0.734, 0.574, 0.481)
Y (0.751, 0.552, 0.001)
Y (0.768, 0.096, 0.521)

Values from the calculation:
The calculation puts the density of states at the Fermi level at 17.74 states/eV/cell. The value obtained for the density is 5.32 Mg/m³.



The energy of each structure relative to the most stable one, in eV/atom, is as follows: run w 0.000; run x 0.047.